Material: Sr2LaSi3Au12
Method: DFT, GGA-PBE
State: relaxed

Cell and atoms, written as extended XYZ:
```
18
Lattice="4.4470 2.5675 6.5602 -4.4470 2.5675 6.5602 0.0000 -5.1349 6.5602" Properties=species:S:1:pos:R:3 pbc="T T T"
Sr 0.0000 0.0000 1.8893
Sr 0.0000 0.0000 17.7914
La 0.0000 0.0000 9.8404
Si -2.2235 -1.2837 6.5602
Si -2.2235 1.2837 13.1205
Si 0.0000 2.5675 6.5602
Au -2.4969 -1.4416 9.0253
Au 0.0000 -2.3062 6.6269
Au -1.9972 1.1531 6.6269
Au 0.0000 -2.8831 10.6554
Au -2.4969 1.4416 10.6554
Au -1.9972 -1.1531 13.0539
Au 1.9972 1.1531 6.6269
Au 2.4969 -1.4416 9.0253
Au 0.0000 2.8831 9.0253
Au 1.9972 -1.1531 13.0539
Au 0.0000 2.3062 13.0539
Au 2.4969 1.4416 10.6554
```

Results
Symmetry: R-3m
Raw formation energy (kJ per mole of atoms): -21
Calculated total energy (eV per atom): -3.771